1.
Here is crystalline CuSi4P at its relaxed geometry from Alexandria via LeMat-Bulk. Energies are from PBE.

Lattice parameters (Å, degrees): 7.1178 7.1178 7.1178 90.00 90.00 90.00
Space group F-43m (No. 216)
Symmetry-distinct sites (fractional):
Cu1 0.0000 0.0000 0.0000
Si1 0.1255 0.1255 0.3745
P1 0.2500 0.2500 0.7500

Output
Electronic total energy, hartree per atom: -0.1662
N(E_F), states/eV/atom: 0.48
Magnetic moment, μB/f.u.: 0.0

---

2.
Here is crystalline Cu4Si2P3 at its relaxed geometry from Alexandria via LeMat-Bulk. Energies are from PBE.

Lattice parameters (Å, degrees): 6.3693 6.3693 3.5599 90.00 90.00 120.00
Space group P-62m (No. 189)
Symmetry-distinct sites (fractional):
Cu1 0.0000 0.0000 0.0000
Cu2 0.0000 0.7397 0.5000
Si1 0.3333 0.6667 0.5000
P1 0.0000 0.3637 0.0000

Output
Electronic total energy, hartree per atom: -0.1678
N(E_F), states/eV/atom: 0.47
Magnetic moment, μB/f.u.: 0.0

---

3.
Here is crystalline CuSiP at its relaxed geometry from Alexandria via LeMat-Bulk. Energies are from PBE.

Lattice parameters (Å, degrees): 2.5301 3.7169 9.8292 90.00 90.00 90.00
Space group Imm2 (No. 44)
Symmetry-distinct sites (fractional):
Cu1 0.0000 0.0000 0.0000
Si1 0.0000 0.0000 0.6333
P1 0.0000 0.0000 0.3812

Output
Electronic total energy, hartree per atom: -0.1695
N(E_F), states/eV/atom: 0.39
Energy above the lowest structure with this stoichiometry, eV/f.u.: 0.89
Magnetic moment, μB/f.u.: 0.0

---

4.
Here is crystalline Cu3SiP at its relaxed geometry from Alexandria via LeMat-Bulk. Energies are from PBE.

Lattice parameters (Å, degrees): 4.3585 4.3585 4.3585 90.00 90.00 90.00
Space group Pm-3m (No. 221)
Symmetry-distinct sites (fractional):
Cu1 0.0000 0.0000 0.5000
Si1 0.5000 0.5000 0.5000
P1 0.0000 0.0000 0.0000

Output
Electronic total energy, hartree per atom: -0.1512
N(E_F), states/eV/atom: 0.50
Energy above the lowest structure with this stoichiometry, eV/f.u.: 0.00
Magnetic moment, μB/f.u.: 0.0

---

Number 1: uncorrected formation energy 0.676 eV per atom. Number 2: uncorrected formation energy 0.262 eV per atom. Number 3: uncorrected formation energy 0.363 eV per atom. Number 4: uncorrected formation energy 0.510 eV per atom.